(P)
Compound: SrTlSeN2
Source: Alexandria
Functional: PBE-GGA
Structure: relaxed

Results
**Magnetization**: 4.9 μB/f.u.
**Symmetry**: P4/mmm, No. 123

Unit cell a=4.972 b=4.972 c=6.140 alpha=90.00 beta=90.00 gamma=90.00
Atoms (fractional coordinates):
Sr (0.000, 0.000, 0.000)
Tl (0.500, 0.500, 0.500)
Se (0.000, 0.000, 0.500)
N (0.000, 0.500, 0.000)
N (0.500, 0.000, 0.000)

***

(Q)
Compound: SrTlSeN2
Source: Alexandria
Functional: PBE-GGA
Structure: relaxed

Results
**Magnetization**: 3.0 μB/f.u.
**Symmetry**: P4/mmm, No. 123

Unit cell a=4.508 b=4.508 c=5.720 alpha=90.00 beta=90.00 gamma=90.00
Atoms (fractional coordinates):
Sr (0.000, 0.000, 0.000)
Tl (0.500, 0.500, 0.500)
Se (0.500, 0.500, 0.000)
N (0.000, 0.500, 0.500)
N (0.500, 0.000, 0.500)

***

Energies relative to the most stable structure are (P) 278; (Q) 0, reported in meV/atom.

***

(P)
Compound: SrWSeN2
Source: Alexandria
Functional: PBE-GGA
Structure: relaxed

Results
**Magnetization**: 0.0 μB/f.u.
**Symmetry**: P4/mmm, No. 123

Unit cell a=4.151 b=4.151 c=5.655 alpha=90.00 beta=90.00 gamma=90.00
Atoms (fractional coordinates):
Sr (0.000, 0.000, 0.000)
W (0.500, 0.500, 0.500)
Se (0.000, 0.000, 0.500)
N (0.000, 0.500, 0.000)
N (0.500, 0.000, 0.000)

***

(Q)
Compound: SrWSeN2
Source: Alexandria
Functional: PBE-GGA
Structure: relaxed

Results
**Magnetization**: 0.0 μB/f.u.
**Symmetry**: P4/mmm, No. 123

Unit cell a=4.066 b=4.066 c=5.176 alpha=90.00 beta=90.00 gamma=90.00
Atoms (fractional coordinates):
Sr (0.000, 0.000, 0.000)
W (0.500, 0.500, 0.500)
Se (0.500, 0.500, 0.000)
N (0.000, 0.500, 0.500)
N (0.500, 0.000, 0.500)

***

Energies relative to the most stable structure are (P) 2944; (Q) 0, reported in meV/atom.

***

(P)
Compound: SrYSe2N
Source: Alexandria
Functional: PBE-GGA
Structure: relaxed

Results
**Magnetization**: 1.2 μB/f.u.
**Symmetry**: P4/mmm, No. 123

Unit cell a=5.610 b=5.610 c=4.360 alpha=90.00 beta=90.00 gamma=90.00
Atoms (fractional coordinates):
Sr (0.000, 0.000, 0.000)
Y (0.500, 0.500, 0.500)
Se (0.000, 0.500, 0.000)
Se (0.500, 0.000, 0.000)
N (0.000, 0.000, 0.500)

***

(Q)
Compound: SrYSe2N
Source: Alexandria
Functional: PBE-GGA
Structure: relaxed

Results
**Magnetization**: 2.0 μB/f.u.
**Symmetry**: P4/mmm, No. 123

Unit cell a=5.561 b=5.561 c=4.474 alpha=90.00 beta=90.00 gamma=90.00
Atoms (fractional coordinates):
Sr (0.000, 0.000, 0.000)
Y (0.500, 0.500, 0.500)
Se (0.000, 0.500, 0.500)
Se (0.500, 0.000, 0.500)
N (0.500, 0.500, 0.000)

***

Energies relative to the most stable structure are (P) 935; (Q) 0, reported in meV/atom.

***

(P)
Compound: SrYSeN2
Source: Alexandria
Functional: PBE-GGA
Structure: relaxed

Results
**Magnetization**: 0.4 μB/f.u.
**Symmetry**: P4/mmm, No. 123

Unit cell a=4.337 b=4.337 c=5.757 alpha=90.00 beta=90.00 gamma=90.00
Atoms (fractional coordinates):
Sr (0.000, 0.000, 0.000)
Y (0.500, 0.500, 0.500)
Se (0.000, 0.000, 0.500)
N (0.000, 0.500, 0.000)
N (0.500, 0.000, 0.000)

***

(Q)
Compound: SrYSeN2
Source: Alexandria
Functional: PBE-GGA
Structure: relaxed

Results
**Magnetization**: 3.0 μB/f.u.
**Symmetry**: P4/mmm, No. 123

Unit cell a=4.547 b=4.547 c=5.639 alpha=90.00 beta=90.00 gamma=90.00
Atoms (fractional coordinates):
Sr (0.000, 0.000, 0.000)
Y (0.500, 0.500, 0.500)
Se (0.500, 0.500, 0.000)
N (0.000, 0.500, 0.500)
N (0.500, 0.000, 0.500)

***

Energies relative to the most stable structure are (P) 887; (Q) 0, reported in meV/atom.